Entry 1:
Material: K2ReTeSe
Method: DFT, PBE
State: relaxed

Structure (CIF):
```
data_K2ReTeSe
_cell_length_a 6.6949
_cell_length_b 6.6949
_cell_length_c 4.5865
_cell_angle_alpha 90.00
_cell_angle_beta 90.00
_cell_angle_gamma 90.00
_space_group_name_H-M_alt 'P 1'
_space_group_IT_number 1
_space_group_name_Hall 'P 1'
loop_
_atom_site_label
_atom_site_type_symbol
_atom_site_fract_x
_atom_site_fract_y
_atom_site_fract_z
K1 K 0.0000 0.5000 0.0000
K2 K 0.5000 0.0000 0.0000
Re1 Re 0.0000 0.0000 0.0000
Te1 Te 0.5000 0.5000 0.5000
Se1 Se 0.0000 0.0000 0.5000
```

- E_form (uncorrected): 0.373 eV per atom
- M_tot: 2.143 μB per formula unit
- Crystal system: tetragonal
- Symmetry: P4/mmm (123)
- V: 205.57 Å³ per cell
- DFT total energy: -19.4 eV for the cell shown
- Density of states at the Fermi level: 1.015 states/eV per atom



Entry 2:
Material: K2TlReSe4
Method: DFT, PBE
State: relaxed

Structure (CIF):
```
data_K2TlReSe4
_cell_length_a 7.1741
_cell_length_b 7.1741
_cell_length_c 7.1741
_cell_angle_alpha 109.11
_cell_angle_beta 109.11
_cell_angle_gamma 110.19
_space_group_name_H-M_alt 'P 1'
_space_group_IT_number 1
_space_group_name_Hall 'P 1'
loop_
_atom_site_label
_atom_site_type_symbol
_atom_site_fract_x
_atom_site_fract_y
_atom_site_fract_z
K1 K 0.0000 0.0000 0.0000
K2 K 0.7500 0.2500 0.5000
Tl1 Tl 0.5000 0.5000 0.0000
Re1 Re 0.2500 0.7500 0.5000
Se1 Se 0.2463 0.0814 0.5130
Se2 Se 0.2667 0.7537 0.8351
Se3 Se 0.5684 0.7333 0.4870
Se4 Se 0.9186 0.4316 0.1649
```

- E_form (uncorrected): -0.529 eV per atom
- M_tot: 1.768 μB per formula unit
- Crystal system: tetragonal
- Symmetry: I-4 (82)
- V: 284.20 Å³ per cell
- DFT total energy: -35.2 eV for the cell shown
- Density of states at the Fermi level: 0.357 states/eV per atom



Entry 3:
Material: K2Tl3ReSe6
Method: DFT, PBE
State: relaxed

Structure (CIF):
```
data_K2Tl3ReSe6
_cell_length_a 7.9926
_cell_length_b 7.9926
_cell_length_c 7.3023
_cell_angle_alpha 100.51
_cell_angle_beta 100.51
_cell_angle_gamma 122.86
_space_group_name_H-M_alt 'P 1'
_space_group_IT_number 1
_space_group_name_Hall 'P 1'
loop_
_atom_site_label
_atom_site_type_symbol
_atom_site_fract_x
_atom_site_fract_y
_atom_site_fract_z
K1 K 0.1757 0.8243 0.0000
K2 K 0.8243 0.1757 0.0000
Tl1 Tl 0.0000 0.0000 0.5000
Tl2 Tl 0.3587 0.6413 0.5000
Tl3 Tl 0.6413 0.3587 0.5000
Re1 Re 0.5000 0.5000 0.0000
Se1 Se 0.1652 0.4161 0.7740
Se2 Se 0.2915 0.2915 0.2057
Se3 Se 0.4161 0.1652 0.7740
Se4 Se 0.5839 0.8348 0.2260
Se5 Se 0.7085 0.7085 0.7943
Se6 Se 0.8348 0.5839 0.2260
```

- E_form (uncorrected): -0.464 eV per atom
- M_tot: 0.779 μB per formula unit
- Crystal system: monoclinic
- Symmetry: C2/m (12)
- V: 362.22 Å³ per cell
- DFT total energy: -48.2 eV for the cell shown
- Density of states at the Fermi level: 0.284 states/eV per atom



> Number 1 is which compound?

K2ReTeSe



> What is the M_tot in the third record?

0.779 μB per formula unit



> Which of these has the lowest density of states at the Fermi level?

K2Tl3ReSe6



> Among the records above, which one has the lowest M_tot?

K2Tl3ReSe6